[1]
InTeOF2 after structural relaxation. Source: Alexandria via LeMat-Bulk, functional PBE-GGA.

Unit cell a=4.4271 b=4.4271 c=4.4927 alpha=90.00 beta=90.00 gamma=90.00
Closest atoms and distances in Å follow each position.
Atoms (fractional coordinates):
F 0.0000 0.5000 0.0000  2 In 2.21
O 0.0000 0.0000 0.5000  2 In 2.25
In 0.0000 0.0000 0.0000  4 F 2.21, 2 O 2.25
F 0.5000 0.0000 0.0000  2 In 2.21
Te 0.5000 0.5000 0.5000  4 O 3.13, 8 F 3.15

Properties
The crystal system is tetragonal. The energy relative to the elements, uncorrected comes out at -1.086 eV per atom. Its symmetry is P4/mmm, No. 123. The calculation puts the polymorph energy (0 for the lowest one) at 88 meV/atom.

[2]
Y2RuRh after structural relaxation. Source: Alexandria via LeMat-Bulk, functional PBE-GGA.

Unit cell a=3.3356 b=4.4856 c=5.6876 alpha=90.00 beta=90.00 gamma=90.00
Closest atoms and distances in Å follow each position.
Atoms (fractional coordinates):
Y 0.5000 0.5000 0.3200  2 Ru 2.80-2.89, 4 Rh 2.88
Rh 0.0000 0.0000 0.4412  6 Y 2.76-2.92
Y 0.0000 0.0000 0.9272  2 Rh 2.76-2.92, 4 Ru 2.87
Ru 0.5000 0.5000 0.8117  6 Y 2.80-2.89

Properties
For the formation energy, the calculation gives -87 kJ/mol of formula units. The crystal system is orthorhombic. Its symmetry is Pmm2, No. 25.

[3]
HfTcGe after structural relaxation. Source: Alexandria via LeMat-Bulk, functional PBE-GGA.

Unit cell a=6.6811 b=4.0427 c=9.7221 alpha=90.00 beta=127.44 gamma=90.00
Closest atoms and distances in Å follow each position.
Atoms (fractional coordinates):
Tc 0.4289 0.5000 0.3508  1 Tc 2.44, 3 Ge 2.53-2.54
Tc 0.5711 0.5000 0.6492  1 Tc 2.44, 3 Ge 2.53-2.54
Hf 0.8091 0.0000 0.5596  5 Ge 2.76-2.96, 4 Tc 2.90-3.01
Tc 0.4289 0.0000 0.8508  1 Tc 2.44, 3 Ge 2.53-2.54
Hf 0.1909 0.5000 0.9404  5 Ge 2.76-2.96, 4 Tc 2.90-3.01
Ge 0.7999 0.5000 0.3400  3 Tc 2.53-2.54, 1 Ge 2.59, 1 Hf 2.76
Ge 0.2001 0.0000 0.1600  3 Tc 2.53-2.54, 1 Ge 2.59, 1 Hf 2.76
Tc 0.5711 0.0000 0.1492  1 Tc 2.44, 3 Ge 2.53-2.54
Ge 0.7999 0.0000 0.8400  3 Tc 2.53-2.54, 1 Ge 2.59, 1 Hf 2.76
Hf 0.1909 0.0000 0.4404  5 Ge 2.76-2.96, 4 Tc 2.90-3.01
Ge 0.2001 0.5000 0.6600  3 Tc 2.53-2.54, 1 Ge 2.59, 1 Hf 2.76
Hf 0.8091 0.5000 0.0596  5 Ge 2.76-2.96, 4 Tc 2.90-3.01

Properties
For the formation energy, the calculation gives -131 kJ/mol of formula units. The crystal system is monoclinic. Its symmetry is C2/m, No. 12. The calculation puts the polymorph energy (0 for the lowest one) at 246 meV/atom.

[4]
Li2Ca2Cd after structural relaxation. Source: Alexandria via LeMat-Bulk, functional PBE-GGA.

Unit cell a=8.7115 b=8.7115 c=4.0550 alpha=90.00 beta=90.00 gamma=90.00
Closest atoms and distances in Å follow each position.
Atoms (fractional coordinates):
Ca 0.3427 0.8427 0.0000  6 Li 3.24-3.28, 2 Cd 3.28
Li 0.6376 0.8624 0.5000  6 Ca 3.24-3.28, 1 Li 3.39
Li 0.1376 0.6376 0.5000  6 Ca 3.24-3.28, 1 Li 3.39
Li 0.3624 0.1376 0.5000  6 Ca 3.24-3.28, 1 Li 3.39
Cd 0.5000 0.5000 0.0000  4 Ca 3.28
Cd 0.0000 0.0000 0.0000  4 Ca 3.28
Ca 0.8427 0.6573 0.0000  6 Li 3.24-3.28, 2 Cd 3.28
Li 0.8624 0.3624 0.5000  6 Ca 3.24-3.28, 1 Li 3.39
Ca 0.1573 0.3427 0.0000  6 Li 3.24-3.28, 2 Cd 3.28
Ca 0.6573 0.1573 0.0000  6 Li 3.24-3.28, 2 Cd 3.28

Properties
For the formation energy, the calculation gives 42 kJ/mol of formula units. The crystal system is tetragonal. Its symmetry is P4/mbm, No. 127. The calculation puts the polymorph energy (0 for the lowest one) at 234 meV/atom.

N(E_F) for every record listed, in sequence, given in states/eV/cell: 2.5 4.6 6.3 5.7.
DFT total energy for every record listed, in sequence, given in eV/f.u.: -20.011 -30.453 -26.296 -8.315.